The following is a DFT calculation (PBE with a Hubbard U) of crystalline Rb2NiF4 at its relaxed geometry.

```
Rb2NiF4
1.0
-2.0743 2.0743 6.9368
2.0743 -2.0743 6.9368
2.0743 2.0743 -6.9368
Rb Ni F
2 1 4
Cartesian
0.0000 0.0000 2.0385
0.0000 0.0000 11.8352
0.0000 0.0000 6.9368
2.0743 0.0000 0.0000
0.0000 0.0000 4.9077
0.0000 2.0743 0.0000
0.0000 0.0000 8.9660
```

Results
- size of the total moment (Bohr magnetons per cell) = 2.00
- E_tot (eV/atom) = -4.25
- symmetry = I4/mmm

---

The following is a DFT calculation (PBE with a Hubbard U) of crystalline Rb2NiF7 at its relaxed geometry.

```
Rb2NiF7
1.0
6.9637 -2.9630 0.0000
6.9637 2.9630 0.0000
-6.9364 0.0000 8.3684
Rb Ni F
4 2 14
Cartesian
1.8451 0.1807 0.4731
-1.6231 -0.1807 4.6573
8.6142 0.1807 3.7111
5.1460 -0.1807 7.8953
1.7614 0.0517 6.2763
5.2296 -0.0517 2.0921
1.7614 1.9814 6.2763
4.0273 1.4111 2.3472
-0.0123 0.8725 6.7491
6.4320 1.4111 1.8370
1.2829 0.0666 4.5327
4.7511 -0.0666 0.3485
3.5352 0.8725 5.8035
3.4559 -0.8725 2.5649
2.2400 0.0666 8.0198
5.7082 -0.0666 3.8356
0.5591 -1.4111 6.5314
7.0034 -0.8725 1.6193
2.9638 -1.4111 6.0211
5.2296 -1.9814 2.0921
```

Results
- size of the total moment (Bohr magnetons per cell) = 6.08
- E_tot (eV/atom) = -3.52
- symmetry = C2/c

---

The following is a DFT calculation (PBE with a Hubbard U) of crystalline RbNiF2 at its relaxed geometry.

```
RbNiF2
1.0
1.7707 1.0223 7.1326
-1.7707 1.0223 7.1326
0.0000 -2.0447 7.1326
Rb Ni F
1 1 2
Cartesian
0.0000 0.0000 0.0000
0.0000 0.0000 10.6989
0.0000 0.0000 2.6534
0.0000 0.0000 18.7443
```

Results
- size of the total moment (Bohr magnetons per cell) = 1.54
- E_tot (eV/atom) = -3.17
- symmetry = R-3m

---

The following is a DFT calculation (PBE with a Hubbard U) of crystalline RbNiF4 at its relaxed geometry.

```
RbNiF4
1.0
5.3692 0.0000 0.0000
0.0000 5.3692 0.0000
0.0000 0.0000 6.1543
Rb Ni F
2 2 8
Cartesian
0.0000 2.6846 0.0000
2.6846 0.0000 0.0000
0.0000 0.0000 3.0771
2.6846 2.6846 3.0771
0.0000 0.0000 1.2746
0.0000 0.0000 4.8796
1.0066 1.6780 3.0771
1.6780 4.3626 3.0771
2.6846 2.6846 1.2746
2.6846 2.6846 4.8796
3.6912 1.0066 3.0771
4.3626 3.6912 3.0771
```

Results
- size of the total moment (Bohr magnetons per cell) = 2.00
- E_tot (eV/atom) = -3.95
- symmetry = P4/mbm

---

The following is a DFT calculation (PBE with a Hubbard U) of crystalline RbNiF2 at its relaxed geometry.

```
RbNiF2
1.0
-2.5793 2.5793 5.9858
2.5793 -2.5793 5.9858
2.5793 2.5793 -5.9858
Rb Ni F
2 2 4
Cartesian
0.0000 0.0000 0.0000
0.0000 2.5793 2.9929
2.5793 0.0000 2.9929
0.0000 0.0000 5.9858
1.2897 -0.7262 4.4894
1.8532 1.2897 1.4965
1.2897 3.3055 -1.4965
0.7262 1.2897 7.4823
```

Results
- size of the total moment (Bohr magnetons per cell) = 2.00
- E_tot (eV/atom) = -3.53
- symmetry = I-42d

---

The following is a DFT calculation (PBE with a Hubbard U) of crystalline RbNiF at its relaxed geometry.

```
RbNiF
1.0
3.8683 0.0000 0.0000
-1.9341 3.3500 0.0000
0.0000 0.0000 4.4823
Rb Ni F
1 1 1
Cartesian
0.0000 0.0000 0.0000
1.9342 1.1167 2.2411
0.0000 2.2334 2.2411
```

Results
- size of the total moment (Bohr magnetons per cell) = 0.17
- E_tot (eV/atom) = -1.95
- symmetry = P-6m2